# Dy2Er6Sc PBE-GGA relaxed
data_Dy2Er6Sc
_chemical_formula_sum 'Dy8 Er24 Sc4'
_symmetry_space_group_name_H-M 'C 1 2/c 1'
_symmetry_Int_Tables_number 15
_cell_length_a 12.613
_cell_length_b 13.895
_cell_length_c 6.434
_cell_angle_alpha 90.00
_cell_angle_beta 103.65
_cell_angle_gamma 90.00
loop_
_symmetry_equiv_pos_as_xyz
'x,y,z'
'-x,-y,-z'
'-x,y,-z+1/2'
'x,-y,z+1/2'
'x+1/2,y+1/2,z'
'-x+1/2,-y+1/2,-z'
'-x+1/2,y+1/2,-z+1/2'
'x+1/2,-y+1/2,z+1/2'
loop_
_atom_site_label
_atom_site_type_symbol
_atom_site_fract_x
_atom_site_fract_y
_atom_site_fract_z
Dy1 Dy 0.141 0.024 0.370
Er1 Er 0.033 0.188 0.002
Er2 Er 0.131 0.414 0.808
Er3 Er 0.243 0.199 0.732
Sc1 Sc 0.000 0.381 0.250
# Formation energy from the elements   0.12 eV per atom
# Relative energy among the computed polymorphs   88 meV/atom